The following is a PBE with a Hubbard U calculation of an optimized crystal structure of TlFeF2, from the Alexandria database.

abc: 3.2890 3.2890 23.6684
angles: 90.00 90.00 120.00
With the nearest neighbours (Å) after each atom.
Sites, in units of the cell vectors:
Tl: 0.0000 0.0000 0.0000  2 F 2.90
Tl: 0.3333 0.6667 0.6667  2 F 2.90
Tl: 0.6667 0.3333 0.3333  2 F 2.90
Fe: 0.0000 0.0000 0.5000  6 F 2.17
Fe: 0.3333 0.6667 0.1667  6 F 2.17
Fe: 0.6667 0.3333 0.8333  6 F 2.17
F: 0.0000 0.0000 0.1226  3 Fe 2.17
F: 0.0000 0.0000 0.8774  3 Fe 2.17
F: 0.3333 0.6667 0.5441  3 Fe 2.17
F: 0.3333 0.6667 0.7892  3 Fe 2.17
F: 0.6667 0.3333 0.2108  3 Fe 2.17
F: 0.6667 0.3333 0.4559  3 Fe 2.17

**N(E_F)**: 0.870 states/eV/atom
**Energy**: -52.878 eV/cell
**M_tot**: 3.78 μB/f.u.